No. 1
The following is a DFT calculation (PBE-GGA) of CrMo4Os after structural relaxation.

The space group is F-43m (No. 216) and the conventional cell measures 7.2734, 7.2734 and 7.2734 Å, with angles of 90.00, 90.00 and 90.00 degrees. The distinct sites, in fractional coordinates, are Cr at (0.0000, 0.0000, 0.0000), Mo at (0.1258, 0.1258, 0.6258) and Os at (0.2500, 0.2500, 0.2500).



No. 2
The following is a DFT calculation (PBE-GGA) of Cr2MoOs after structural relaxation.

The space group is P4/mmm (No. 123) and the conventional cell measures 4.2540, 4.2540 and 2.9655 Å, with angles of 90.00, 90.00 and 90.00 degrees. The distinct sites, in fractional coordinates, are Cr at (0.0000, 0.5000, 0.0000), Mo at (0.0000, 0.0000, 0.5000) and Os at (0.5000, 0.5000, 0.5000).



No. 3
The following is a DFT calculation (PBE-GGA) of CrMoOs2 after structural relaxation.

The space group is Pmm2 (No. 25) and the conventional cell measures 2.7345, 3.8063 and 5.4696 Å, with angles of 90.00, 90.00 and 90.00 degrees. The distinct sites, in fractional coordinates, are Cr at (0.0000, 0.0000, 0.0000), Mo at (0.5000, 0.5000, 0.2625), Os at (0.0000, 0.0000, 0.5177) and Os at (0.5000, 0.5000, 0.7808).



No. 4
The following is a DFT calculation (PBE-GGA) of CrMoOs2 after structural relaxation.

The space group is I-42d (No. 122) and the conventional cell measures 3.8465, 3.8465 and 17.1316 Å, with angles of 90.00, 90.00 and 90.00 degrees. The distinct sites, in fractional coordinates, are Cr at (0.0000, 0.0000, 0.0000), Mo at (0.0000, 0.0000, 0.5000) and Os at (0.2174, 0.2500, 0.1250).



Per-record ΔH_f (0 K), eV per atom: 0.466, 0.102, 0.155, 0.842
Per-record density of states at the Fermi level, states/eV/f.u.: 6.83, 4.41, 4.10, 4.34
Per-record volume, Å³/cell: 385, 54, 57, 253